VASP calculation (GGA-PBE) on a relaxed structure of BaOs2SeS.

The structure in POSCAR format:
```
BaOs2SeS
1.0
5.548 0.000 0.000
0.000 5.548 0.000
0.000 0.000 5.438
Ba Os Se S
1 2 1 1
Direct
0.000 0.000 0.000 Ba
0.000 0.500 0.000 Os
0.500 0.000 0.000 Os
0.500 0.500 0.500 Se
0.000 0.000 0.500 S
```

## Properties
Spin magnetization (Bohr magnetons per cell): 7.04
Space-group type: P4/mmm
Uncorrected formation energy (eV per atom): 2.92
Energy (eV per atom): -3.4743
Calculated volume (Å³ per atom): 33.5


VASP calculation (GGA-PBE) on a relaxed structure of Zr4ZnC.

The structure in POSCAR format:
```
Zr4ZnC
1.0
3.694 -6.523 0.000
3.694 6.523 0.000
-2.970 0.000 4.888
Zr Zn C
8 2 2
Direct
0.058 0.649 0.842 Zr
0.170 0.275 0.705 Zr
0.275 0.170 0.205 Zr
0.351 0.942 0.658 Zr
0.649 0.058 0.342 Zr
0.725 0.830 0.795 Zr
0.830 0.725 0.295 Zr
0.942 0.351 0.158 Zr
0.389 0.611 0.250 Zn
0.611 0.389 0.750 Zn
0.063 0.937 0.750 C
0.937 0.063 0.250 C
```

## Properties
Spin magnetization (Bohr magnetons per cell): 0.00
Space-group type: C2/c
ΔH_f (0 K) (kJ/mol of formula units): -133
Offset from the most stable computed form (meV per atom): 6.3
Energy (eV per atom): -7.6787
Calculated volume (Å³ per atom): 19.6


VASP calculation (GGA-PBE) on a relaxed structure of CuSN2O.

The structure in POSCAR format:
```
CuSN2O
1.0
3.857 0.000 0.000
0.000 3.857 0.000
0.000 0.000 3.712
Cu S N O
1 1 2 1
Direct
0.000 0.000 0.000 Cu
0.500 0.500 0.500 S
0.000 0.500 0.000 N
0.500 0.000 0.000 N
0.000 0.000 0.500 O
```

## Properties
Spin magnetization (Bohr magnetons per cell): 1.88
Space-group type: P4/mmm
Uncorrected formation energy (eV per atom): 1.85
Energy (eV per atom): -4.1160
Calculated volume (Å³ per atom): 11.0


VASP calculation (GGA-PBE) on a relaxed structure of Cs3Rb3CdH8.

The structure in POSCAR format:
```
Cs3Rb3CdH8
1.0
4.097 2.365 6.924
-4.097 2.365 6.924
0.000 -4.731 6.924
Cs Rb Cd H
3 3 1 8
Direct
0.000 0.500 0.500 Cs
0.500 0.000 0.500 Cs
0.500 0.500 0.000 Cs
0.000 0.000 0.500 Rb
0.000 0.500 0.000 Rb
0.500 0.000 0.000 Rb
0.500 0.500 0.500 Cd
0.243 0.243 0.243 H
0.309 0.686 0.686 H
0.314 0.314 0.691 H
0.314 0.691 0.314 H
0.686 0.309 0.686 H
0.686 0.686 0.309 H
0.691 0.314 0.314 H
0.757 0.757 0.757 H
```

## Properties
Spin magnetization (Bohr magnetons per cell): 0.00
Space-group type: R-3m
Energy (eV per atom): -2.2885
Calculated volume (Å³ per atom): 26.8